Record 1
{
  "formula": "Tl4Mo",
  "functional": "SCAN",
  "state": "PBEsol geometry",
  "cell": [[-0.481, -1.131, 2.744], [5.876, 0.801, 3.008], [-2.103, 5.279, 3.453]],
  "species": ["Tl", "Tl", "Tl", "Mo", "Tl"],
  "frac_coords": [[0.499, 0.729, 0.272], [0.501, 0.271, 0.728], [0.229, 0.272, 0.271], [0.000, 0.000, 0.000], [0.771, 0.728, 0.729]]
}

---

Record 2
{
  "formula": "Tl3Mo",
  "functional": "SCAN",
  "state": "PBEsol geometry",
  "cell": [[-0.100, 2.782, -1.344], [-4.739, -0.825, -1.356], [-1.790, 1.481, 5.358]],
  "species": ["Mo", "Tl", "Tl", "Tl"],
  "frac_coords": [[0.000, 0.000, 0.000], [0.377, 0.500, 0.233], [0.623, 0.500, 0.767], [0.000, 0.000, 0.500]]
}

---

| no. | total magnetization (μB per atom) | energy relative to the elements (eV per atom) |
| --- | --- | --- |
| 1 | 0.093 | 0.54 |
| 2 | 0.000 | 0.73 |